Crystalline CeNdErPa at its relaxed geometry. Source: Alexandria via LeMat-Bulk, functional PBE-GGA.

```
CeNdErPa
1.0
-4.231 -2.404 2.674
-3.409 -3.437 -2.719
0.124 -5.449 1.062
Pa Nd Ce Er
1 1 1 1
Cartesian
0.000 0.000 0.000 Pa
-1.879 -2.822 0.254 Nd
-5.637 -8.467 0.762 Ce
-3.758 -5.645 0.508 Er
```

Computed properties:
**Energy of formation from the pure elements**: 0.3923 eV/atom
**VASP energy**: -23.19 eV/f.u.
**N(E_F)**: 13.57 states/eV per cell